Record 1
Here is In2PdPt6 after structural relaxation from the Alexandria database. Energies are from PBE-GGA.

It has space group Amm2 (No. 38), with a = 2.8961 Å, b = 11.8845 Å, c = 8.8984 Å, α = 90.00°, β = 90.00° and γ = 90.00°. The distinct sites, in fractional coordinates, are In at (0.0000, 0.2004, 0.0000), Pd at (0.5000, 0.0000, 0.4690), Pt at (0.0000, 0.0000, 0.1996), Pt at (0.0000, 0.1163, 0.6906), Pt at (0.5000, 0.0000, 0.9220) and Pt at (0.5000, 0.1888, 0.2773).

The formation energy comes out at -0.17 eV per atom. As for the crystal system: orthorhombic. As for the energy above the lowest structure with this stoichiometry: 0.0126 eV per atom.

Record 2
Here is KAlAg2 after structural relaxation from the Alexandria database. Energies are from PBE-GGA.

It has space group Cm (No. 8), with a = 8.3025 Å, b = 4.5383 Å, c = 6.5624 Å, α = 90.00°, β = 108.27° and γ = 90.00°. The distinct sites, in fractional coordinates, are K at (0.0000, 0.0000, 0.0000), Al at (0.2890, 0.5000, 0.4538), Ag at (0.1501, 0.0000, 0.5384) and Ag at (0.4553, 0.0000, 0.4497).

The formation energy comes out at 0.01 eV per atom. As for the crystal system: monoclinic.

Record 3
Here is SiPOs after structural relaxation from the Alexandria database. Energies are from PBE-GGA.

It has space group P3m1 (No. 156), with a = 3.0322 Å, b = 3.0322 Å, c = 5.2458 Å, α = 90.00°, β = 90.00° and γ = 120.00°. The distinct sites, in fractional coordinates, are Si at (0.0000, 0.0000, 0.0000), P at (0.3333, 0.6667, 0.6656) and Os at (0.6667, 0.3333, 0.3411).

The calculation puts the formation energy without anion corrections at -0.02 eV/atom. As for the crystal system: trigonal.

Record 4
Here is Ac3TmSn4 after structural relaxation from the Alexandria database. Energies are from PBE-GGA.

It has space group Immm (No. 71), with a = 4.6848 Å, b = 7.0424 Å, c = 17.9077 Å, α = 90.00°, β = 90.00° and γ = 90.00°. The distinct sites, in fractional coordinates, are Ac at (0.0000, 0.0000, 0.0000), Ac at (0.0000, 0.5000, 0.1985), Tm at (0.0000, 0.0000, 0.5000) and Sn at (0.0000, 0.2942, 0.3748).

The formation energy comes out at -0.55 eV per atom. As for the crystal system: orthorhombic.

Record 5
Here is B2C after structural relaxation from the Alexandria database. Energies are from PBE-GGA.

It has space group Pm (No. 6), with a = 4.9086 Å, b = 2.7210 Å, c = 6.3487 Å, α = 90.00°, β = 91.84° and γ = 90.00°. The distinct sites, in fractional coordinates, are B at (0.0000, 0.0000, 0.0000), B at (0.0421, 0.0000, 0.7411), B at (0.1738, 0.5000, 0.8879), B at (0.3308, 0.5000, 0.2865), B at (0.5303, 0.5000, 0.8611), B at (0.5871, 0.0000, 0.5076), B at (0.6462, 0.0000, 0.0366), B at (0.8955, 0.0000, 0.2664), C at (0.0257, 0.5000, 0.3699), C at (0.5000, 0.0000, 0.2637), C at (0.6444, 0.5000, 0.6304) and C at (0.9729, 0.5000, 0.6102).

The formation energy comes out at 0.41 eV per atom. As for the crystal system: monoclinic. As for the energy above the lowest structure with this stoichiometry: 0.2272 eV per atom.

Record 6
Here is Sr2Ga4Ag3Au after structural relaxation from the Alexandria database. Energies are from PBE-GGA.

It has space group P-4m2 (No. 115), with a = 4.5000 Å, b = 4.5000 Å, c = 11.0627 Å, α = 90.00°, β = 90.00° and γ = 90.00°. The distinct sites, in fractional coordinates, are Sr at (0.0000, 0.5000, 0.2492), Ga at (0.0000, 0.0000, 0.5000), Ga at (0.0000, 0.5000, 0.8730), Ga at (0.5000, 0.5000, 0.5000), Ag at (0.0000, 0.0000, 0.0000), Ag at (0.0000, 0.5000, 0.6354) and Au at (0.5000, 0.5000, 0.0000).

The formation energy comes out at -0.37 eV per atom. As for the crystal system: tetragonal.

Record 7
Here is Li2AcPt2 after structural relaxation from the Alexandria database. Energies are from PBE-GGA.

It has space group I4/mmm (No. 139), with a = 4.0278 Å, b = 4.0278 Å, c = 12.6572 Å, α = 90.00°, β = 90.00° and γ = 90.00°. The distinct sites, in fractional coordinates, are Li at (0.0000, 0.5000, 0.2500), Ac at (0.0000, 0.0000, 0.0000) and Pt at (0.0000, 0.0000, 0.3892).

The formation energy comes out at -0.78 eV per atom. As for the crystal system: tetragonal.

Record 8
Here is RuPt4Rh3 after structural relaxation from the Alexandria database. Energies are from PBE-GGA.

It has space group C2/m (No. 12), with a = 18.0472 Å, b = 2.7646 Å, c = 4.7904 Å, α = 90.00°, β = 95.08° and γ = 90.00°. The distinct sites, in fractional coordinates, are Ru at (0.0000, 0.0000, 0.0000), Pt at (0.1236, 0.5000, 0.8751), Pt at (0.1246, 0.0000, 0.3732), Rh at (0.0000, 0.5000, 0.5000) and Rh at (0.2500, 0.0000, 0.7504).

The formation energy comes out at 0.01 eV per atom. As for the crystal system: monoclinic. As for the energy above the lowest structure with this stoichiometry: 0.0000 eV per atom.

Record 9
Here is Be2PtI8 after structural relaxation from the Alexandria database. Energies are from PBE-GGA.

It has space group C2/m (No. 12), with a = 14.6087 Å, b = 9.0686 Å, c = 6.7184 Å, α = 90.00°, β = 93.08° and γ = 90.00°. The distinct sites, in fractional coordinates, are Be at (0.1589, 0.0000, 0.4277), Pt at (0.0000, 0.0000, 0.0000), I at (0.0809, 0.2029, 0.2496), I at (0.1568, 0.0000, 0.7903) and I at (0.1802, 0.5000, 0.5888).

The calculation puts the formation energy without anion corrections at -0.35 eV/atom. As for the crystal system: monoclinic.

Record 10
Here is MgFe2Mo after structural relaxation from the Alexandria database. Energies are from PBE-GGA.

It has space group F-43m (No. 216), with a = 6.0442 Å, b = 6.0442 Å, c = 6.0442 Å, α = 90.00°, β = 90.00° and γ = 90.00°. The distinct sites, in fractional coordinates, are Mg at (0.0000, 0.0000, 0.0000), Fe at (0.0000, 0.0000, 0.5000), Fe at (0.2500, 0.2500, 0.7500) and Mo at (0.2500, 0.2500, 0.2500).

The formation energy comes out at 0.34 eV per atom. As for the crystal system: cubic.

Record 11
Here is RbAlS2 after structural relaxation from the Alexandria database. Energies are from PBE-GGA.

It has space group C2 (No. 5), with a = 10.9503 Å, b = 6.7905 Å, c = 9.1307 Å, α = 90.00°, β = 125.56° and γ = 90.00°. The distinct sites, in fractional coordinates, are Rb at (0.1516, 0.0000, 0.3092), Al at (0.1368, 0.5285, 0.9998), S at (0.1119, 0.4871, 0.2304) and S at (0.1893, 0.8541, 0.9982).

The calculation puts the formation energy without anion corrections at -1.25 eV/atom. As for the crystal system: monoclinic.

Record 12
Here is DyHoMgPd after structural relaxation from the Alexandria database. Energies are from PBE-GGA.

It has space group P4mm (No. 99), with a = 3.6228 Å, b = 3.6228 Å, c = 7.3460 Å, α = 90.00°, β = 90.00° and γ = 90.00°. The distinct sites, in fractional coordinates, are Dy at (0.0000, 0.0000, 0.0000), Ho at (0.0000, 0.0000, 0.5533), Mg at (0.5000, 0.5000, 0.2781) and Pd at (0.5000, 0.5000, 0.7739).

The formation energy comes out at -0.49 eV per atom. As for the crystal system: tetragonal. As for the energy above the lowest structure with this stoichiometry: 0.0000 eV per atom.

Record 13
Here is TbY2Th3Bi6 after structural relaxation from the Alexandria database. Energies are from PBE-GGA.

It has space group C2/m (No. 12), with a = 19.7917 Å, b = 4.5507 Å, c = 9.0572 Å, α = 90.00°, β = 103.02° and γ = 90.00°. The distinct sites, in fractional coordinates, are Tb at (0.0000, 0.0000, 0.0000), Y at (0.1665, 0.5000, 0.3329), Th at (0.0000, 0.0000, 0.5000), Th at (0.1666, 0.5000, 0.8329), Bi at (0.0020, 0.5000, 0.2454), Bi at (0.1649, 0.0000, 0.0881) and Bi at (0.1687, 0.0000, 0.5781).

The formation energy comes out at -0.73 eV per atom. As for the crystal system: monoclinic.

| no. | size of the total moment (Bohr magnetons per cell) |
| --- | --- |
| 1 | 0.00 |
| 2 | 0.00 |
| 3 | 0.00 |
| 4 | 0.00 |
| 5 | 0.00 |
| 6 | 0.00 |
| 7 | 0.00 |
| 8 | 0.00 |
| 9 | 0.00 |
| 10 | 15.85 |
| 11 | 0.00 |
| 12 | 0.00 |
| 13 | 0.00 |